# 1
# Ba4AgIr2 PBE relaxed
data_Ba4AgIr2
_chemical_formula_sum 'Ba8 Ag2 Ir4'
_cell_length_a 9.8248
_cell_length_b 9.8248
_cell_length_c 9.0829
_cell_angle_alpha 117.50
_cell_angle_beta 117.50
_cell_angle_gamma 91.67
_space_group_name_H-M_alt 'P 1'
_space_group_IT_number 1
_space_group_name_Hall 'P 1'
loop_
_atom_site_label
_atom_site_type_symbol
_atom_site_fract_x
_atom_site_fract_y
_atom_site_fract_z
Ba1 Ba 0.9999 0.9999 0.2495
Ba2 Ba 0.0001 0.0001 0.7505
Ba3 Ba 0.4414 0.5575 0.2497
Ba4 Ba 0.4425 0.5586 0.7503
Ba5 Ba 0.4789 0.0574 0.7678
Ba6 Ba 0.4993 0.0369 0.2681
Ba7 Ba 0.9426 0.5211 0.2322
Ba8 Ba 0.9631 0.5007 0.7319
Ag1 Ag 0.2211 0.2790 0.7494
Ag2 Ag 0.7210 0.7789 0.2506
Ir1 Ir 0.1562 0.8438 0.0000
Ir2 Ir 0.2209 0.7789 0.2499
Ir3 Ir 0.2211 0.7791 0.7501
Ir4 Ir 0.2858 0.7142 0.5000
# D(E_F): 0.67 states/eV per atom
# Crystal system: monoclinic
# E: -4.124 eV/atom
# Size of the total moment: 0.00 μB/cell


# 2
# Ba11AgIr2 PBE relaxed
data_Ba11AgIr2
_chemical_formula_sum 'Ba22 Ag2 Ir4'
_cell_length_a 12.8450
_cell_length_b 12.8450
_cell_length_c 12.8450
_cell_angle_alpha 112.79
_cell_angle_beta 112.25
_cell_angle_gamma 103.53
_space_group_name_H-M_alt 'P 1'
_space_group_IT_number 1
_space_group_name_Hall 'P 1'
loop_
_atom_site_label
_atom_site_type_symbol
_atom_site_fract_x
_atom_site_fract_y
_atom_site_fract_z
Ba1 Ba 0.0000 0.0000 0.0000
Ba2 Ba 0.0700 0.8505 0.6510
Ba3 Ba 0.0841 0.4331 0.7909
Ba4 Ba 0.1422 0.9331 0.3490
Ba5 Ba 0.1938 0.8099 0.0037
Ba6 Ba 0.1995 0.4190 0.3490
Ba7 Ba 0.3005 0.6495 0.2195
Ba8 Ba 0.3062 0.3099 0.6161
Ba9 Ba 0.3578 0.7069 0.7909
Ba10 Ba 0.4159 0.2069 0.3490
Ba11 Ba 0.4300 0.0810 0.7805
Ba12 Ba 0.5000 0.5000 0.0000
Ba13 Ba 0.5700 0.9190 0.2195
Ba14 Ba 0.5841 0.7931 0.6510
Ba15 Ba 0.6422 0.2931 0.2091
Ba16 Ba 0.6938 0.6901 0.3839
Ba17 Ba 0.6995 0.3505 0.7805
Ba18 Ba 0.8005 0.5810 0.6510
Ba19 Ba 0.8062 0.1901 0.9963
Ba20 Ba 0.8578 0.0669 0.6510
Ba21 Ba 0.9159 0.5669 0.2091
Ba22 Ba 0.9300 0.1495 0.3490
Ag1 Ag 0.2500 0.7500 0.5000
Ag2 Ag 0.7500 0.2500 0.5000
Ir1 Ir 0.1590 0.1623 0.3212
Ir2 Ir 0.3410 0.6623 0.0033
Ir3 Ir 0.6590 0.3377 0.9967
Ir4 Ir 0.8410 0.8377 0.6788
# D(E_F): 1.14 states/eV per atom
# Crystal system: orthorhombic
# E: -2.975 eV/atom
# Size of the total moment: 0.00 μB/cell


# 3
# Ba4Ag2Ir PBE relaxed
data_Ba4Ag2Ir
_chemical_formula_sum 'Ba4 Ag2 Ir1'
_cell_length_a 9.4804
_cell_length_b 9.4804
_cell_length_c 9.4804
_cell_angle_alpha 142.78
_cell_angle_beta 142.78
_cell_angle_gamma 53.65
_space_group_name_H-M_alt 'P 1'
_space_group_IT_number 1
_space_group_name_Hall 'P 1'
loop_
_atom_site_label
_atom_site_type_symbol
_atom_site_fract_x
_atom_site_fract_y
_atom_site_fract_z
Ba1 Ba 0.0000 0.5000 0.5000
Ba2 Ba 0.1794 0.1794 0.0000
Ba3 Ba 0.5000 0.0000 0.5000
Ba4 Ba 0.8206 0.8206 0.0000
Ag1 Ag 0.3812 0.3812 0.0000
Ag2 Ag 0.6188 0.6188 0.0000
Ir1 Ir 0.0000 0.0000 0.0000
# D(E_F): 1.01 states/eV per atom
# Crystal system: tetragonal
# E: -3.267 eV/atom
# Size of the total moment: 0.00 μB/cell
# Energy relative to the lowest polymorph listed for this composition: 97 meV per atom


# 4
# Ba4Ag2Ir PBE relaxed
data_Ba4Ag2Ir
_chemical_formula_sum 'Ba4 Ag2 Ir1'
_cell_length_a 8.8350
_cell_length_b 8.8350
_cell_length_c 6.9779
_cell_angle_alpha 101.13
_cell_angle_beta 101.13
_cell_angle_gamma 31.41
_space_group_name_H-M_alt 'P 1'
_space_group_IT_number 1
_space_group_name_Hall 'P 1'
loop_
_atom_site_label
_atom_site_type_symbol
_atom_site_fract_x
_atom_site_fract_y
_atom_site_fract_z
Ba1 Ba 0.0781 0.0781 0.2631
Ba2 Ba 0.3504 0.3504 0.1781
Ba3 Ba 0.6496 0.6496 0.8219
Ba4 Ba 0.9219 0.9219 0.7369
Ag1 Ag 0.2615 0.2615 0.6238
Ag2 Ag 0.7385 0.7385 0.3762
Ir1 Ir 0.5000 0.5000 0.0000
# D(E_F): 0.63 states/eV per atom
# Crystal system: monoclinic
# E: -3.364 eV/atom
# Size of the total moment: 0.00 μB/cell
# Energy relative to the lowest polymorph listed for this composition: 0 meV per atom


# 5
# BaAg2Ir2 PBE relaxed
data_BaAg2Ir2
_chemical_formula_sum 'Ba1 Ag2 Ir2'
_cell_length_a 6.2420
_cell_length_b 6.2420
_cell_length_c 6.2420
_cell_angle_alpha 136.34
_cell_angle_beta 136.34
_cell_angle_gamma 63.46
_space_group_name_H-M_alt 'P 1'
_space_group_IT_number 1
_space_group_name_Hall 'P 1'
loop_
_atom_site_label
_atom_site_type_symbol
_atom_site_fract_x
_atom_site_fract_y
_atom_site_fract_z
Ba1 Ba 0.0000 0.0000 0.0000
Ag1 Ag 0.2500 0.7500 0.5000
Ag2 Ag 0.7500 0.2500 0.5000
Ir1 Ir 0.3893 0.3893 0.0000
Ir2 Ir 0.6107 0.6107 0.0000
# D(E_F): 1.41 states/eV per atom
# Crystal system: tetragonal
# E: -4.786 eV/atom
# Size of the total moment: 0.00 μB/cell


# 6
# BaAg2Ir PBE relaxed
data_BaAg2Ir
_chemical_formula_sum 'Ba1 Ag2 Ir1'
_cell_length_a 5.4436
_cell_length_b 5.4436
_cell_length_c 5.4436
_cell_angle_alpha 130.61
_cell_angle_beta 130.61
_cell_angle_gamma 72.43
_space_group_name_H-M_alt 'P 1'
_space_group_IT_number 1
_space_group_name_Hall 'P 1'
loop_
_atom_site_label
_atom_site_type_symbol
_atom_site_fract_x
_atom_site_fract_y
_atom_site_fract_z
Ba1 Ba 0.0000 0.0000 0.0000
Ag1 Ag 0.5000 0.5000 0.0000
Ag2 Ag 0.7500 0.2500 0.5000
Ir1 Ir 0.2500 0.7500 0.5000
# D(E_F): 0.58 states/eV per atom
# Crystal system: tetragonal
# E: -3.727 eV/atom
# Size of the total moment: 0.00 μB/cell
# Energy relative to the lowest polymorph listed for this composition: 319 meV per atom


# 7
# BaAg4Ir PBE relaxed
data_BaAg4Ir
_chemical_formula_sum 'Ba1 Ag4 Ir1'
_cell_length_a 5.6561
_cell_length_b 5.6561
_cell_length_c 5.6561
_cell_angle_alpha 60.00
_cell_angle_beta 60.00
_cell_angle_gamma 60.00
_space_group_name_H-M_alt 'P 1'
_space_group_IT_number 1
_space_group_name_Hall 'P 1'
loop_
_atom_site_label
_atom_site_type_symbol
_atom_site_fract_x
_atom_site_fract_y
_atom_site_fract_z
Ba1 Ba 0.0000 0.0000 0.0000
Ag1 Ag 0.3761 0.3761 0.3761
Ag2 Ag 0.3761 0.3761 0.8716
Ag3 Ag 0.3761 0.8716 0.3761
Ag4 Ag 0.8716 0.3761 0.3761
Ir1 Ir 0.7500 0.7500 0.7500
# D(E_F): 0.71 states/eV per atom
# Crystal system: cubic
# E: -3.458 eV/atom
# Size of the total moment: 0.00 μB/cell


# 8
# Ba3AgIr PBE relaxed
data_Ba3AgIr
_chemical_formula_sum 'Ba3 Ag1 Ir1'
_cell_length_a 6.0628
_cell_length_b 6.0628
_cell_length_c 6.0628
_cell_angle_alpha 90.00
_cell_angle_beta 90.00
_cell_angle_gamma 90.00
_space_group_name_H-M_alt 'P 1'
_space_group_IT_number 1
_space_group_name_Hall 'P 1'
loop_
_atom_site_label
_atom_site_type_symbol
_atom_site_fract_x
_atom_site_fract_y
_atom_site_fract_z
Ba1 Ba 0.0000 0.0000 0.5000
Ba2 Ba 0.0000 0.5000 0.0000
Ba3 Ba 0.5000 0.0000 0.0000
Ag1 Ag 0.5000 0.5000 0.5000
Ir1 Ir 0.0000 0.0000 0.0000
# D(E_F): 0.92 states/eV per atom
# Crystal system: cubic
# E: -3.534 eV/atom
# Size of the total moment: 0.00 μB/cell
# Energy relative to the lowest polymorph listed for this composition: 74 meV per atom


# 9
# Ba2AgIr2 PBE relaxed
data_Ba2AgIr2
_chemical_formula_sum 'Ba4 Ag2 Ir4'
_cell_length_a 7.3791
_cell_length_b 7.3791
_cell_length_c 4.9051
_cell_angle_alpha 90.00
_cell_angle_beta 90.00
_cell_angle_gamma 90.00
_space_group_name_H-M_alt 'P 1'
_space_group_IT_number 1
_space_group_name_Hall 'P 1'
loop_
_atom_site_label
_atom_site_type_symbol
_atom_site_fract_x
_atom_site_fract_y
_atom_site_fract_z
Ba1 Ba 0.1810 0.3190 0.0000
Ba2 Ba 0.3190 0.8190 0.0000
Ba3 Ba 0.6810 0.1810 0.0000
Ba4 Ba 0.8190 0.6810 0.0000
Ag1 Ag 0.0000 0.0000 0.5000
Ag2 Ag 0.5000 0.5000 0.5000
Ir1 Ir 0.1182 0.6182 0.5000
Ir2 Ir 0.3818 0.1182 0.5000
Ir3 Ir 0.6182 0.8818 0.5000
Ir4 Ir 0.8818 0.3818 0.5000
# D(E_F): 1.55 states/eV per atom
# Crystal system: tetragonal
# E: -4.756 eV/atom
# Size of the total moment: 0.00 μB/cell


# 10
# BaAg2Ir PBE relaxed
data_BaAg2Ir
_chemical_formula_sum 'Ba1 Ag2 Ir1'
_cell_length_a 5.0848
_cell_length_b 5.0848
_cell_length_c 5.0848
_cell_angle_alpha 60.00
_cell_angle_beta 60.00
_cell_angle_gamma 60.00
_space_group_name_H-M_alt 'P 1'
_space_group_IT_number 1
_space_group_name_Hall 'P 1'
loop_
_atom_site_label
_atom_site_type_symbol
_atom_site_fract_x
_atom_site_fract_y
_atom_site_fract_z
Ba1 Ba 0.0000 0.0000 0.0000
Ag1 Ag 0.2500 0.2500 0.2500
Ag2 Ag 0.5000 0.5000 0.5000
Ir1 Ir 0.7500 0.7500 0.7500
# D(E_F): 0.89 states/eV per atom
# Crystal system: cubic
# E: -3.676 eV/atom
# Size of the total moment: 0.00 μB/cell
# Energy relative to the lowest polymorph listed for this composition: 369 meV per atom